Entry 1:
First-principles (PBE) data for crystalline Ge3IrC at its relaxed geometry, as listed in Alexandria.

Size of the total moment ... 0.000 μB/cell
Density ... 9.380 Mg/m³
Energy of formation from the pure elements ... 22.3 kcal/mol of atoms
E_tot ... -5.4221 eV per atom
Excess energy over the best structure of this formula in the dataset ... 0.000 eV/atom
Space group ... Pm-3m (221)

```
5
Lattice="4.2122 0.0000 0.0000 0.0000 4.2122 0.0000 0.0000 0.0000 4.2122" Properties=species:S:1:pos:R:3 pbc="T T T"
Ge 0.0000 0.0000 2.1061
Ge 0.0000 2.1061 0.0000
Ge 2.1061 0.0000 0.0000
Ir 2.1061 2.1061 2.1061
C 0.0000 0.0000 0.0000
```



Entry 2:
First-principles (PBE) data for crystalline GeIrC2 at its relaxed geometry, as listed in Alexandria.

Size of the total moment ... 0.000 μB/cell
Density ... 9.548 Mg/m³
Energy of formation from the pure elements ... 18.5 kcal/mol of atoms
E_tot ... -7.1798 eV per atom
Space group ... I-42d (122)

```
8
Lattice="-2.3657 2.3657 4.4888 2.3657 -2.3657 4.4888 2.3657 2.3657 -4.4888" Properties=species:S:1:pos:R:3 pbc="T T T"
Ge 0.0000 0.0000 0.0000
Ge 0.0000 2.3657 2.2444
Ir 2.3657 0.0000 2.2444
Ir 0.0000 0.0000 4.4888
C 3.5485 1.1758 -1.1222
C 1.1758 1.1828 1.1222
C -1.1828 1.1899 3.3666
C 1.1899 1.1828 5.6109
```



Entry 3:
First-principles (PBE) data for crystalline Ge2IrC at its relaxed geometry, as listed in Alexandria.

Size of the total moment ... 0.000 μB/cell
Density ... 9.096 Mg/m³
Energy of formation from the pure elements ... 11.5 kcal/mol of atoms
E_tot ... -6.3314 eV per atom
Space group ... I-42d (122)

```
8
Lattice="-2.6926 2.6926 4.4002 2.6926 -2.6926 4.4002 2.6926 2.6926 -4.4002" Properties=species:S:1:pos:R:3 pbc="T T T"
Ge 4.0390 1.0053 -1.1001
Ge 1.0053 1.3463 1.1001
Ge -1.3463 1.6874 3.3002
Ge 1.6874 1.3463 5.5003
Ir 2.6926 0.0000 2.2001
Ir 0.0000 0.0000 4.4002
C 0.0000 0.0000 0.0000
C 0.0000 2.6926 2.2001
```



Entry 4:
First-principles (PBE) data for crystalline Ge3IrC at its relaxed geometry, as listed in Alexandria.

Size of the total moment ... 0.964 μB/cell
Density ... 6.501 Mg/m³
Energy of formation from the pure elements ... 33.1 kcal/mol of atoms
E_tot ... -4.9541 eV per atom
Excess energy over the best structure of this formula in the dataset ... 0.468 eV/atom
Space group ... Pm-3m (221)

```
5
Lattice="4.7597 0.0000 0.0000 0.0000 4.7597 0.0000 0.0000 0.0000 4.7597" Properties=species:S:1:pos:R:3 pbc="T T T"
Ge 0.0000 0.0000 2.3798
Ge 0.0000 2.3798 0.0000
Ge 2.3798 0.0000 0.0000
Ir 0.0000 0.0000 0.0000
C 2.3798 2.3798 2.3798
```



Entry 5:
First-principles (PBE) data for crystalline GeIrC3 at its relaxed geometry, as listed in Alexandria.

Size of the total moment ... 0.000 μB/cell
Density ... 8.549 Mg/m³
Energy of formation from the pure elements ... 66.2 kcal/mol of atoms
E_tot ... -5.3609 eV per atom
Space group ... Pm-3m (221)

```
5
Lattice="3.8808 0.0000 0.0000 0.0000 3.8808 0.0000 0.0000 0.0000 3.8808" Properties=species:S:1:pos:R:3 pbc="T T T"
Ge 0.0000 0.0000 0.0000
Ir 1.9404 1.9404 1.9404
C 0.0000 0.0000 1.9404
C 0.0000 1.9404 0.0000
C 1.9404 0.0000 0.0000
```



Entry 6:
First-principles (PBE) data for crystalline Na2GeIrC at its relaxed geometry, as listed in Alexandria.

Size of the total moment ... 2.573 μB/cell
Density ... 3.767 Mg/m³
Energy of formation from the pure elements ... 33.7 kcal/mol of atoms
E_tot ... -3.6082 eV per atom
Space group ... P4/mmm (123)

```
5
Lattice="5.5482 0.0000 0.0000 0.0000 5.5482 0.0000 0.0000 0.0000 4.6230" Properties=species:S:1:pos:R:3 pbc="T T T"
Na 0.0000 2.7741 0.0000
Na 2.7741 0.0000 0.0000
Ge 0.0000 0.0000 2.3115
Ir 0.0000 0.0000 0.0000
C 2.7741 2.7741 2.3115
```



Entry 7:
First-principles (PBE) data for crystalline GeIrPt2C at its relaxed geometry, as listed in Alexandria.

Size of the total moment ... 0.000 μB/cell
Density ... 14.788 Mg/m³
Energy of formation from the pure elements ... 10.4 kcal/mol of atoms
E_tot ... -6.5041 eV per atom
Space group ... P4/mmm (123)

```
5
Lattice="4.3253 0.0000 0.0000 0.0000 4.3253 0.0000 0.0000 0.0000 4.0036" Properties=species:S:1:pos:R:3 pbc="T T T"
Ge 0.0000 0.0000 0.0000
Ir 2.1626 2.1626 0.0000
Pt 0.0000 2.1626 2.0018
Pt 2.1626 0.0000 2.0018
C 2.1626 2.1626 2.0018
```



Entry 8:
First-principles (PBE) data for crystalline GeIrCSe2 at its relaxed geometry, as listed in Alexandria.

Size of the total moment ... 0.000 μB/cell
E_form (uncorrected) ... 1.593 eV/atom
Density ... 8.026 Mg/m³
E_tot ... -4.3417 eV per atom
Space group ... P4/mmm (123)

```
5
Lattice="5.0097 0.0000 0.0000 0.0000 5.0097 0.0000 0.0000 0.0000 3.5842" Properties=species:S:1:pos:R:3 pbc="T T T"
Ge 0.0000 0.0000 0.0000
Ir 2.5049 2.5049 1.7921
C 0.0000 0.0000 1.7921
Se 0.0000 2.5049 0.0000
Se 2.5049 0.0000 0.0000
```